No. 1
# V3Pd5 PBE optimized geometry
data_V3Pd5
_space_group_name_H-M_alt 'P b a m'
_space_group_IT_number 55
_cell_length_a 5.5207
_cell_length_b 11.0597
_cell_length_c 3.8053
_cell_angle_alpha 90.00
_cell_angle_beta 90.00
_cell_angle_gamma 90.00
loop_
_space_group_symop_operation_xyz
'x,y,z'
'-x,-y,-z'
'-x,-y,z'
'x,y,-z'
'x+1/2,-y+1/2,-z'
'-x+1/2,y+1/2,z'
'-x+1/2,y+1/2,-z'
'x+1/2,-y+1/2,z'
loop_
_atom_site_label
_atom_site_type_symbol
_atom_site_fract_x
_atom_site_fract_y
_atom_site_fract_z
V1 V 0.0000 0.0000 0.0000
V2 V 0.2365 0.1194 0.5000
Pd1 Pd 0.9997 0.2476 0.0000
Pd2 Pd 0.0000 0.5000 0.0000
Pd3 Pd 0.2438 0.8792 0.5000
# - energy of formation from the pure elements (eV/atom) = -0.195


No. 2
# VPd PBE optimized geometry
data_VPd
_space_group_name_H-M_alt 'P m m n'
_space_group_IT_number 59
_cell_length_a 2.6521
_cell_length_b 4.4431
_cell_length_c 4.8922
_cell_angle_alpha 90.00
_cell_angle_beta 90.00
_cell_angle_gamma 90.00
loop_
_space_group_symop_operation_xyz
'x,y,z'
'-x,-y,-z'
'-x+1/2,-y+1/2,z'
'x+1/2,y+1/2,-z'
'x+1/2,-y,-z'
'-x+1/2,y,z'
'-x,y+1/2,-z'
'x,-y+1/2,z'
loop_
_atom_site_label
_atom_site_type_symbol
_atom_site_fract_x
_atom_site_fract_y
_atom_site_fract_z
V1 V 0.2500 0.2500 0.1100
Pd1 Pd 0.2500 0.7500 0.3912
# - energy of formation from the pure elements (eV/atom) = -0.085


No. 3
# VPd PBE optimized geometry
data_VPd
_space_group_name_H-M_alt 'F -4 3 m'
_space_group_IT_number 216
_space_group_name_Hall 'F -4 2 3'
_cell_length_a 5.5566
_cell_length_b 5.5566
_cell_length_c 5.5566
_cell_angle_alpha 90.00
_cell_angle_beta 90.00
_cell_angle_gamma 90.00
loop_
_atom_site_label
_atom_site_type_symbol
_atom_site_fract_x
_atom_site_fract_y
_atom_site_fract_z
V1 V 0.0000 0.0000 0.0000
Pd1 Pd 0.2500 0.2500 0.7500
# - energy of formation from the pure elements (eV/atom) = 0.982


No. 4
# V13Pd2 PBE optimized geometry
data_V13Pd2
_space_group_name_H-M_alt 'R -3 m'
_space_group_IT_number 166
_space_group_name_Hall '-R 3 2"'
_cell_length_a 6.6523
_cell_length_b 6.6523
_cell_length_c 19.5427
_cell_angle_alpha 90.00
_cell_angle_beta 90.00
_cell_angle_gamma 120.00
loop_
_atom_site_label
_atom_site_type_symbol
_atom_site_fract_x
_atom_site_fract_y
_atom_site_fract_z
V1 V 0.0000 0.0000 0.0000
V2 V 0.0740 0.5370 0.2956
V3 V 0.0790 0.5395 0.4218
Pd1 Pd 0.0000 0.0000 0.1332
# - energy of formation from the pure elements (eV/atom) = 0.572


No. 5
# V3Pd PBE optimized geometry
data_V3Pd
_space_group_name_H-M_alt 'P 4/m m m'
_space_group_IT_number 123
_space_group_name_Hall '-P 4 2'
_cell_length_a 4.2017
_cell_length_b 4.2017
_cell_length_c 3.1562
_cell_angle_alpha 90.00
_cell_angle_beta 90.00
_cell_angle_gamma 90.00
loop_
_atom_site_label
_atom_site_type_symbol
_atom_site_fract_x
_atom_site_fract_y
_atom_site_fract_z
V1 V 0.0000 0.0000 0.0000
V2 V 0.0000 0.5000 0.5000
Pd1 Pd 0.5000 0.5000 0.0000
# - energy of formation from the pure elements (eV/atom) = -0.038


No. 6
# V3Pd PBE optimized geometry
data_V3Pd
_space_group_name_H-M_alt 'I m m 2'
_space_group_IT_number 44
_cell_length_a 2.5586
_cell_length_b 8.8894
_cell_length_c 4.9283
_cell_angle_alpha 90.00
_cell_angle_beta 90.00
_cell_angle_gamma 90.00
loop_
_space_group_symop_operation_xyz
'x,y,z'
'-x,-y,z'
'-x,y,z'
'x,-y,z'
'x+1/2,y+1/2,z+1/2'
'-x+1/2,-y+1/2,z+1/2'
'-x+1/2,y+1/2,z+1/2'
'x+1/2,-y+1/2,z+1/2'
loop_
_atom_site_label
_atom_site_type_symbol
_atom_site_fract_x
_atom_site_fract_y
_atom_site_fract_z
V1 V 0.0000 0.0000 0.0000
V2 V 0.0000 0.2454 0.2888
Pd1 Pd 0.0000 0.5000 0.9996
# - energy of formation from the pure elements (eV/atom) = 0.030


No. 7
# V4Pd PBE optimized geometry
data_V4Pd
_space_group_name_H-M_alt 'P m -3 m'
_space_group_IT_number 221
_space_group_name_Hall '-P 4 2 3'
_cell_length_a 4.6469
_cell_length_b 4.6469
_cell_length_c 4.6469
_cell_angle_alpha 90.00
_cell_angle_beta 90.00
_cell_angle_gamma 90.00
loop_
_atom_site_label
_atom_site_type_symbol
_atom_site_fract_x
_atom_site_fract_y
_atom_site_fract_z
V1 V 0.0000 0.0000 0.0000
V2 V 0.0000 0.5000 0.5000
Pd1 Pd 0.5000 0.5000 0.5000
# - energy of formation from the pure elements (eV/atom) = 1.430


No. 8
# V7Pd PBE optimized geometry
data_V7Pd
_space_group_name_H-M_alt 'I 4/m m m'
_space_group_IT_number 139
_space_group_name_Hall '-I 4 2'
_cell_length_a 4.2558
_cell_length_b 4.2558
_cell_length_c 12.0327
_cell_angle_alpha 90.00
_cell_angle_beta 90.00
_cell_angle_gamma 90.00
loop_
_atom_site_label
_atom_site_type_symbol
_atom_site_fract_x
_atom_site_fract_y
_atom_site_fract_z
V1 V 0.0000 0.0000 0.0000
V2 V 0.0000 0.0000 0.2451
V3 V 0.0000 0.5000 0.1300
Pd1 Pd 0.0000 0.0000 0.5000
# - energy of formation from the pure elements (eV/atom) = -0.084


No. 9
# VPd PBE optimized geometry
data_VPd
_space_group_name_H-M_alt 'I 4/m'
_space_group_IT_number 87
_space_group_name_Hall '-I 4'
_cell_length_a 9.4786
_cell_length_b 9.4786
_cell_length_c 2.7636
_cell_angle_alpha 90.00
_cell_angle_beta 90.00
_cell_angle_gamma 90.00
loop_
_atom_site_label
_atom_site_type_symbol
_atom_site_fract_x
_atom_site_fract_y
_atom_site_fract_z
V1 V 0.0925 0.6272 0.0000
Pd1 Pd 0.1087 0.1736 0.0000
# - energy of formation from the pure elements (eV/atom) = 0.038


No. 10
# VPd PBE optimized geometry
data_VPd
_space_group_name_H-M_alt 'I -4 3 m'
_space_group_IT_number 217
_space_group_name_Hall 'I -4 2 3'
_cell_length_a 7.5746
_cell_length_b 7.5746
_cell_length_c 7.5746
_cell_angle_alpha 90.00
_cell_angle_beta 90.00
_cell_angle_gamma 90.00
loop_
_atom_site_label
_atom_site_type_symbol
_atom_site_fract_x
_atom_site_fract_y
_atom_site_fract_z
V1 V 0.1195 0.1195 0.1195
Pd1 Pd 0.1949 0.1949 0.8051
# - energy of formation from the pure elements (eV/atom) = 1.086


No. 11
# V4Pd5 PBE optimized geometry
data_V4Pd5
_space_group_name_H-M_alt 'I 4/m m m'
_space_group_IT_number 139
_space_group_name_Hall '-I 4 2'
_cell_length_a 8.3117
_cell_length_b 8.3117
_cell_length_c 3.7650
_cell_angle_alpha 90.00
_cell_angle_beta 90.00
_cell_angle_gamma 90.00
loop_
_atom_site_label
_atom_site_type_symbol
_atom_site_fract_x
_atom_site_fract_y
_atom_site_fract_z
V1 V 0.0000 0.3410 0.0000
Pd1 Pd 0.0000 0.0000 0.0000
Pd2 Pd 0.1687 0.1687 0.5000
# - energy of formation from the pure elements (eV/atom) = -0.185


No. 12
# VPd PBE optimized geometry
data_VPd
_space_group_name_H-M_alt 'P m -3 n'
_space_group_IT_number 223
_space_group_name_Hall '-P 4n 2 3'
_cell_length_a 6.9643
_cell_length_b 6.9643
_cell_length_c 6.9643
_cell_angle_alpha 90.00
_cell_angle_beta 90.00
_cell_angle_gamma 90.00
loop_
_atom_site_label
_atom_site_type_symbol
_atom_site_fract_x
_atom_site_fract_y
_atom_site_fract_z
V1 V 0.0000 0.2500 0.5000
Pd1 Pd 0.0000 0.5000 0.2500
# - energy of formation from the pure elements (eV/atom) = 1.159


No. 13
# V3Pd PBE optimized geometry
data_V3Pd
_space_group_name_H-M_alt 'P m -3 m'
_space_group_IT_number 221
_space_group_name_Hall '-P 4 2 3'
_cell_length_a 3.8307
_cell_length_b 3.8307
_cell_length_c 3.8307
_cell_angle_alpha 90.00
_cell_angle_beta 90.00
_cell_angle_gamma 90.00
loop_
_atom_site_label
_atom_site_type_symbol
_atom_site_fract_x
_atom_site_fract_y
_atom_site_fract_z
V1 V 0.0000 0.0000 0.5000
Pd1 Pd 0.5000 0.5000 0.5000
# - energy of formation from the pure elements (eV/atom) = 0.022


No. 14
# VPd PBE optimized geometry
data_VPd
_space_group_name_H-M_alt 'P 63/m m c'
_space_group_IT_number 194
_space_group_name_Hall '-P 6c 2c'
_cell_length_a 4.2847
_cell_length_b 4.2847
_cell_length_c 5.0324
_cell_angle_alpha 90.00
_cell_angle_beta 90.00
_cell_angle_gamma 120.00
loop_
_atom_site_label
_atom_site_type_symbol
_atom_site_fract_x
_atom_site_fract_y
_atom_site_fract_z
V1 V 0.3333 0.6667 0.2500
Pd1 Pd 0.3333 0.6667 0.7500
# - energy of formation from the pure elements (eV/atom) = 0.766


No. 15
# VPd PBE optimized geometry
data_VPd
_space_group_name_H-M_alt 'F d d d'
_space_group_IT_number 70
_cell_length_a 6.6203
_cell_length_b 7.6298
_cell_length_c 9.8724
_cell_angle_alpha 90.00
_cell_angle_beta 90.00
_cell_angle_gamma 90.00
loop_
_space_group_symop_operation_xyz
'x,y,z'
'-x,-y,-z'
'-x+1/4,-y+1/4,z'
'x+1/4,y+1/4,-z'
'x,-y+1/4,-z+1/4'
'-x,y+1/4,z+1/4'
'-x+1/4,y,-z+1/4'
'x+1/4,-y,z+1/4'
'x,y+1/2,z+1/2'
'-x,-y+1/2,-z+1/2'
'-x+1/4,-y+3/4,z+1/2'
'x+1/4,y+3/4,-z+1/2'
'x,-y+3/4,-z+3/4'
'-x,y+3/4,z+3/4'
'-x+1/4,y+1/2,-z+3/4'
'x+1/4,-y+1/2,z+3/4'
'x+1/2,y,z+1/2'
'-x+1/2,-y,-z+1/2'
'-x+3/4,-y+1/4,z+1/2'
'x+3/4,y+1/4,-z+1/2'
'x+1/2,-y+1/4,-z+3/4'
'-x+1/2,y+1/4,z+3/4'
'-x+3/4,y,-z+3/4'
'x+3/4,-y,z+3/4'
'x+1/2,y+1/2,z'
'-x+1/2,-y+1/2,-z'
'-x+3/4,-y+3/4,z'
'x+3/4,y+3/4,-z'
'x+1/2,-y+3/4,-z+1/4'
'-x+1/2,y+3/4,z+1/4'
'-x+3/4,y+1/2,-z+1/4'
'x+3/4,-y+1/2,z+1/4'
loop_
_atom_site_label
_atom_site_type_symbol
_atom_site_fract_x
_atom_site_fract_y
_atom_site_fract_z
V1 V 0.0284 0.3750 0.3750
Pd1 Pd 0.1250 0.3035 0.6250
# - energy of formation from the pure elements (eV/atom) = 0.217


No. 16
# VPd5 PBE optimized geometry
data_VPd5
_space_group_name_H-M_alt 'A m m 2'
_space_group_IT_number 38
_cell_length_a 4.4973
_cell_length_b 2.7838
_cell_length_c 14.3480
_cell_angle_alpha 90.00
_cell_angle_beta 90.00
_cell_angle_gamma 90.00
loop_
_space_group_symop_operation_xyz
'x,y,z'
'-x,-y,z'
'-x,y,z'
'x,-y,z'
'x,y+1/2,z+1/2'
'-x,-y+1/2,z+1/2'
'-x,y+1/2,z+1/2'
'x,-y+1/2,z+1/2'
loop_
_atom_site_label
_atom_site_type_symbol
_atom_site_fract_x
_atom_site_fract_y
_atom_site_fract_z
V1 V 0.0000 0.0000 0.0000
Pd1 Pd 0.0000 0.0000 0.3381
Pd2 Pd 0.0000 0.0000 0.6574
Pd3 Pd 0.5000 0.0000 0.1052
Pd4 Pd 0.5000 0.0000 0.4425
Pd5 Pd 0.5000 0.0000 0.7735
# - energy of formation from the pure elements (eV/atom) = -0.157


No. 17
# VPd PBE optimized geometry
data_VPd
_space_group_name_H-M_alt 'I m m 2'
_space_group_IT_number 44
_cell_length_a 2.7517
_cell_length_b 12.0597
_cell_length_c 5.3946
_cell_angle_alpha 90.00
_cell_angle_beta 90.00
_cell_angle_gamma 90.00
loop_
_space_group_symop_operation_xyz
'x,y,z'
'-x,-y,z'
'-x,y,z'
'x,-y,z'
'x+1/2,y+1/2,z+1/2'
'-x+1/2,-y+1/2,z+1/2'
'-x+1/2,y+1/2,z+1/2'
'x+1/2,-y+1/2,z+1/2'
loop_
_atom_site_label
_atom_site_type_symbol
_atom_site_fract_x
_atom_site_fract_y
_atom_site_fract_z
V1 V 0.0000 0.0000 0.0000
V2 V 0.0000 0.3660 0.2478
Pd1 Pd 0.0000 0.0000 0.4690
Pd2 Pd 0.0000 0.3178 0.7292
# - energy of formation from the pure elements (eV/atom) = -0.033


No. 18
# VPdW3 PBE optimized geometry
data_VPdW3
_space_group_name_H-M_alt 'P m -3 m'
_space_group_IT_number 221
_space_group_name_Hall '-P 4 2 3'
_cell_length_a 4.4875
_cell_length_b 4.4875
_cell_length_c 4.4875
_cell_angle_alpha 90.00
_cell_angle_beta 90.00
_cell_angle_gamma 90.00
loop_
_atom_site_label
_atom_site_type_symbol
_atom_site_fract_x
_atom_site_fract_y
_atom_site_fract_z
V1 V 0.0000 0.0000 0.0000
Pd1 Pd 0.5000 0.5000 0.5000
W1 W 0.0000 0.0000 0.5000
# - energy of formation from the pure elements (eV/atom) = 1.559
# - distance to the lowest polymorph of the same formula (meV per atom) = 0


No. 19
# VPd6W PBE optimized geometry
data_VPd6W
_space_group_name_H-M_alt 'A m m 2'
_space_group_IT_number 38
_cell_length_a 4.4907
_cell_length_b 5.5029
_cell_length_c 9.7730
_cell_angle_alpha 90.00
_cell_angle_beta 90.00
_cell_angle_gamma 90.00
loop_
_space_group_symop_operation_xyz
'x,y,z'
'-x,-y,z'
'-x,y,z'
'x,-y,z'
'x,y+1/2,z+1/2'
'-x,-y+1/2,z+1/2'
'-x,y+1/2,z+1/2'
'x,-y+1/2,z+1/2'
loop_
_atom_site_label
_atom_site_type_symbol
_atom_site_fract_x
_atom_site_fract_y
_atom_site_fract_z
V1 V 0.0000 0.0000 0.0000
Pd1 Pd 0.0000 0.0000 0.5063
Pd2 Pd 0.0000 0.2446 0.2537
Pd3 Pd 0.5000 0.0000 0.6729
Pd4 Pd 0.5000 0.2439 0.9258
W1 W 0.5000 0.0000 0.1770
# - energy of formation from the pure elements (eV/atom) = -0.059


No. 20
# VPd5W PBE optimized geometry
data_VPd5W
_space_group_name_H-M_alt 'C 1 2/c 1'
_space_group_IT_number 15
_cell_length_a 9.2594
_cell_length_b 5.1909
_cell_length_c 9.4028
_cell_angle_alpha 90.00
_cell_angle_beta 98.73
_cell_angle_gamma 90.00
loop_
_space_group_symop_operation_xyz
'x,y,z'
'-x,-y,-z'
'-x,y,-z+1/2'
'x,-y,z+1/2'
'x+1/2,y+1/2,z'
'-x+1/2,-y+1/2,-z'
'-x+1/2,y+1/2,-z+1/2'
'x+1/2,-y+1/2,z+1/2'
loop_
_atom_site_label
_atom_site_type_symbol
_atom_site_fract_x
_atom_site_fract_y
_atom_site_fract_z
V1 V 0.0000 0.0000 0.0000
Pd1 Pd 0.0000 0.2064 0.2500
Pd2 Pd 0.1418 0.4361 0.0373
Pd3 Pd 0.2304 0.0720 0.6841
W1 W 0.0000 0.3059 0.7500
# - energy of formation from the pure elements (eV/atom) = 0.138


No. 21
# VPdW PBE optimized geometry
data_VPdW
_space_group_name_H-M_alt 'P -6 m 2'
_space_group_IT_number 187
_space_group_name_Hall 'P -6 2'
_cell_length_a 4.5359
_cell_length_b 4.5359
_cell_length_c 2.5740
_cell_angle_alpha 90.00
_cell_angle_beta 90.00
_cell_angle_gamma 120.00
loop_
_atom_site_label
_atom_site_type_symbol
_atom_site_fract_x
_atom_site_fract_y
_atom_site_fract_z
V1 V 0.0000 0.0000 0.0000
Pd1 Pd 0.3333 0.6667 0.5000
W1 W 0.6667 0.3333 0.5000
# - energy of formation from the pure elements (eV/atom) = 0.175
# - distance to the lowest polymorph of the same formula (meV per atom) = 0


No. 22
# VPdW PBE optimized geometry
data_VPdW
_space_group_name_H-M_alt 'R -3 m'
_space_group_IT_number 166
_space_group_name_Hall '-R 3 2"'
_cell_length_a 4.3301
_cell_length_b 4.3301
_cell_length_c 17.9792
_cell_angle_alpha 90.00
_cell_angle_beta 90.00
_cell_angle_gamma 120.00
loop_
_atom_site_label
_atom_site_type_symbol
_atom_site_fract_x
_atom_site_fract_y
_atom_site_fract_z
V1 V 0.0000 0.0000 0.0660
Pd1 Pd 0.0000 0.0000 0.2092
W1 W 0.0000 0.0000 0.3600
# - energy of formation from the pure elements (eV/atom) = 0.220
# - distance to the lowest polymorph of the same formula (meV per atom) = 45


No. 23
# VPdW PBE optimized geometry
data_VPdW
_space_group_name_H-M_alt 'I 4 m m'
_space_group_IT_number 107
_space_group_name_Hall 'I 4 -2'
_cell_length_a 3.1702
_cell_length_b 3.1702
_cell_length_c 9.1209
_cell_angle_alpha 90.00
_cell_angle_beta 90.00
_cell_angle_gamma 90.00
loop_
_atom_site_label
_atom_site_type_symbol
_atom_site_fract_x
_atom_site_fract_y
_atom_site_fract_z
V1 V 0.0000 0.0000 0.0000
Pd1 Pd 0.0000 0.0000 0.6742
W1 W 0.0000 0.0000 0.3594
# - energy of formation from the pure elements (eV/atom) = 0.176
# - distance to the lowest polymorph of the same formula (meV per atom) = 1